Computed, not measured: an optimized crystal structure of ErGe2Os at the GGA-PBE level of DFT.

abc: 4.1617 8.3926 9.0305
angles: 90.00 90.00 104.36
With the nearest neighbours (Å) after each atom.
Element x y z (fractional)
Ge (0.7042, 0.4084, 0.5935)  3 Os 2.47-2.64
Ge (0.7042, 0.4084, 0.9065)  3 Os 2.47-2.64
Ge (0.0818, 0.1636, 0.7500)  2 Os 2.47, 1 Ge 2.57
Ge (0.2958, 0.5916, 0.0935)  3 Os 2.47-2.64
Ge (0.2958, 0.5916, 0.4065)  3 Os 2.47-2.64
Ge (0.0761, 0.1522, 0.2500)  2 Os 2.49, 1 Ge 2.57
Ge (0.9239, 0.8478, 0.7500)  2 Os 2.49, 1 Ge 2.57
Ge (0.9182, 0.8364, 0.2500)  2 Os 2.47, 1 Ge 2.57
Os (0.8584, 0.7168, 0.9991)  5 Ge 2.47-2.64
Os (0.8584, 0.7168, 0.5009)  5 Ge 2.47-2.64
Os (0.1416, 0.2832, 0.4991)  5 Ge 2.47-2.64
Os (0.1416, 0.2832, 0.0009)  5 Ge 2.47-2.64
Er (0.5000, 0.0000, 0.0000)  4 Os 3.10, 10 Ge 3.31-3.43
Er (0.2936, 0.5871, 0.7500)  8 Ge 2.90-3.10, 4 Os 3.24
Er (0.5000, 0.0000, 0.5000)  4 Os 3.10, 10 Ge 3.31-3.43
Er (0.7064, 0.4129, 0.2500)  8 Ge 2.90-3.10, 4 Os 3.24

Calculated values
Energy relative to the elements in meV per atom: -490
Raw total energy in eV for the cell shown: -107.94

***

Computed, not measured: an optimized crystal structure of LiIn2Au at the GGA-PBE level of DFT.

abc: 4.0948 4.5598 5.1235
angles: 108.61 113.55 90.00
With the nearest neighbours (Å) after each atom.
Element x y z (fractional)
Li (0.5101, 0.5251, 0.0201)  3 Au 2.89-2.96, 7 In 2.92-3.17
Au (0.2418, 0.7240, 0.4835)  3 Li 2.89-2.96, 7 In 2.95-3.19
In (0.9937, 0.9828, 0.9875)  3 Au 2.96-3.04, 4 In 2.96-3.25, 4 Li 2.97-3.17
In (0.7544, 0.2681, 0.5089)  3 Li 2.92-3.06, 4 Au 2.95-3.19, 4 In 2.96-3.25

Calculated values
Energy relative to the elements in meV per atom: -258
Raw total energy in eV for the cell shown: -11.70

***

Computed, not measured: an optimized crystal structure of Pr4RhBr2Cl at the GGA-PBE level of DFT.

abc: 4.0999 7.3082 8.0034
angles: 107.74 90.00 90.00
With the nearest neighbours (Å) after each atom.
Element x y z (fractional)
Pr (0.0000, 0.7175, 0.2074)  2 Rh 2.81, 1 Cl 3.02
Pr (0.5000, 0.2393, 0.2109)  2 Cl 2.88, 1 Rh 2.90
Pr (0.5000, 0.7607, 0.7891)  2 Cl 2.88, 1 Rh 2.90
Pr (0.0000, 0.2825, 0.7926)  2 Rh 2.81, 1 Cl 3.02
Br (0.5000, 0.0000, 0.5000)  6 Pr 3.30-3.32
Br (0.0000, 0.5000, 0.5000)  6 Pr 3.21-3.24
Rh (0.5000, 0.5000, 0.0000)  6 Pr 2.81-2.90
Cl (0.0000, 0.0000, 0.0000)  6 Pr 2.88-3.02

Calculated values
Raw total energy in eV for the cell shown: -40.67
Formation energy without anion corrections in eV/atom: -1.126

***

Computed, not measured: an optimized crystal structure of Rb2HgPtPb at the GGA-PBE level of DFT.

abc: 6.5987 6.5987 5.1954
angles: 90.00 90.00 90.00
With the nearest neighbours (Å) after each atom.
Element x y z (fractional)
Rb (0.0000, 0.5000, 0.0000)  2 Pt 3.30
Rb (0.5000, 0.0000, 0.0000)  2 Pt 3.30
Pb (0.0000, 0.0000, 0.5000)  2 Pt 2.60
Pt (0.0000, 0.0000, 0.0000)  2 Pb 2.60
Hg (0.5000, 0.5000, 0.5000)  8 Rb 4.20, 4 Pb 4.67

Calculated values
Energy relative to the elements in meV per atom: -93
Raw total energy in eV for the cell shown: -12.45

***

Computed, not measured: an optimized crystal structure of CuReRu2 at the GGA-PBE level of DFT.

abc: 2.7611 4.5541 4.4675
angles: 90.00 90.00 90.00
With the nearest neighbours (Å) after each atom.
Element x y z (fractional)
Ru (0.5000, 0.5000, 0.0000)  4 Re 2.63, 6 Ru 2.66-2.76
Ru (0.0000, 0.0000, 0.0000)  4 Cu 2.63, 6 Ru 2.66-2.76
Cu (0.5000, 0.0000, 0.5000)  4 Ru 2.63, 4 Re 2.66, 2 Cu 2.76
Re (0.0000, 0.5000, 0.5000)  4 Ru 2.63, 4 Cu 2.66, 2 Re 2.76

Calculated values
Energy relative to the elements in meV per atom: 475
Relative energy among the computed polymorphs in eV/atom: 0.349
Raw total energy in eV for the cell shown: -33.20

***

Computed, not measured: an optimized crystal structure of AlTc2Ag at the GGA-PBE level of DFT.

abc: 2.6795 2.6795 8.9647
angles: 90.00 90.00 107.55
With the nearest neighbours (Å) after each atom.
Element x y z (fractional)
Ag (0.5000, 0.5000, 0.2500)  4 Ag 2.68, 4 Tc 2.88
Al (0.5000, 0.5000, 0.7500)  4 Tc 2.61, 4 Al 2.68
Tc (0.0000, 0.0000, 0.9813)  2 Al 2.61, 4 Tc 2.68, 2 Ag 2.88
Tc (0.0000, 0.0000, 0.5187)  2 Al 2.61, 4 Tc 2.68, 2 Ag 2.88

Calculated values
Energy relative to the elements in meV per atom: 202
Raw total energy in eV for the cell shown: -26.52